## La7DyY3 (PBE)

Data for crystalline La7DyY3 at its relaxed geometry.

Cell: 7.287 7.287 8.756 Å, 90.00 90.00 120.00°
Positions (direct):
1 La 0.000 0.000 0.000
2 La 0.002 0.501 0.027
3 La 0.168 0.336 0.671
4 La 0.168 0.832 0.671
5 La 0.499 0.501 0.027
6 La 0.499 0.998 0.027
7 La 0.664 0.832 0.671
8 Dy 0.667 0.333 0.690
9 Y 0.335 0.167 0.350
10 Y 0.833 0.167 0.350
11 Y 0.833 0.665 0.350

Summary:
magnetization	0.0000	μB per atom
polymorph energy (0 for the lowest one)	4.8	kJ per mole of atoms
symmetry	No. 156